Entry 1:
This record from Alexandria via LeMat-Bulk describes crystalline Na3Bi at its relaxed geometry. The functional is GGA-PBE.

Structure (POSCAR):
```
Na3Bi
1.0
5.666 0.000 0.000
0.000 7.022 0.000
0.000 -3.511 6.081
Na Bi
6 2
Direct
0.750 0.363 0.181
0.250 0.637 0.819
0.750 0.819 0.637
0.250 0.181 0.363
0.750 0.819 0.181
0.250 0.181 0.819
0.750 0.333 0.667
0.250 0.667 0.333
```

Summary:
As for the space-group type: P6_3/mmc, No. 194. As for the density of states at the Fermi level: 0.7 states/eV/f.u. As for the density: 3.81 g/cm3. The calculated formation energy comes out at -0.29 eV/atom. Its energy above the lowest structure with this stoichiometry is 0.334 eV per formula unit. The value obtained for the size of the total moment is 0.0 μB/f.u.

***

Entry 2:
This record from Alexandria via LeMat-Bulk describes crystalline NaBi3 at its relaxed geometry. The functional is GGA-PBE.

Structure (POSCAR):
```
NaBi3
1.0
3.441 0.000 0.000
0.000 6.090 0.000
-1.720 -3.045 5.930
Na Bi
1 3
Direct
0.000 0.031 0.000
0.258 0.557 0.515
0.500 0.537 0.000
0.742 0.042 0.485
```

Summary:
As for the space-group type: Imm2, No. 44. As for the density of states at the Fermi level: 1.0 states/eV/f.u. As for the density: 8.69 g/cm3. The calculated formation energy comes out at -0.11 eV/atom. Its energy above the lowest structure with this stoichiometry is 0.089 eV per formula unit. The value obtained for the size of the total moment is 0.0 μB/f.u.

***

Entry 3:
This record from Alexandria via LeMat-Bulk describes crystalline Na3Bi at its relaxed geometry. The functional is GGA-PBE.

Structure (POSCAR):
```
Na3Bi
1.0
-2.622 2.089 -1.793
-0.808 -4.267 -3.791
-2.300 -1.101 6.112
Na Bi
3 1
Direct
0.265 0.632 0.529
0.500 0.460 0.000
0.735 0.102 0.471
0.000 0.972 0.000
```

Summary:
As for the space-group type: Imm2, No. 44. As for the density of states at the Fermi level: 0.8 states/eV/f.u. As for the density: 3.73 g/cm3. The calculated formation energy comes out at -0.23 eV/atom. Its energy above the lowest structure with this stoichiometry is 0.598 eV per formula unit. The value obtained for the size of the total moment is 0.0 μB/f.u.

***

Question: Which value of energy above the lowest structure with this stoichiometry does entry 3 give?
Answer: 0.598 eV per formula unit

***

Question: Which value of size of the total moment does entry 2 give?
Answer: 0.0 μB/f.u.